ErAlCu: optimized geometry, PBE.

abc: 7.136 7.136 3.829
angles: 90.00 90.00 120.00
Atoms (fractional coordinates):
Er (0.000, 0.415, 0.000)
Er (0.415, 0.000, 0.000)
Er (0.585, 0.585, 0.000)
Al (0.000, 0.759, 0.500)
Al (0.241, 0.241, 0.500)
Al (0.759, 0.000, 0.500)
Cu (0.000, 0.000, 0.000)
Cu (0.333, 0.667, 0.500)
Cu (0.667, 0.333, 0.500)

Summary:
Final energy, eV per atom: -4.606
ΔE_f, meV per atom: -472